[1]
Below is crystalline NaCe2P at its relaxed geometry, with properties calculated at the PBE level.

The space group is R-3m (No. 166, hexagonal axes) and the conventional cell measures 3.7937, 3.7937 and 32.4783 Å, with angles of 90.00, 90.00 and 120.00 degrees. The distinct sites, in fractional coordinates, are Na at (0.0000, 0.0000, 0.0000), Ce at (0.0000, 0.0000, 0.1147) and P at (0.0000, 0.0000, 0.5000).

The density of states at the Fermi level is 12.3 states/eV/f.u. As for the crystal system: trigonal. The formation energy comes out at -176 kJ/mol of formula units. The calculation puts the volume at 33.73 Å³ per atom.

[2]
Below is crystalline NaCeP2Rh5 at its relaxed geometry, with properties calculated at the PBE level.

The space group is P4/mmm (No. 123) and the conventional cell measures 4.060, 4.060 and 8.838 Å, with angles of 90.00, 90.00 and 90.00 degrees. The distinct sites, in fractional coordinates, are Na at (0.000, 0.000, 0.000), Ce at (0.000, 0.000, 0.500), P at (0.500, 0.500, 0.135), Rh at (0.000, 0.500, 0.259) and Rh at (0.500, 0.500, 0.500).

The density of states at the Fermi level is 3.7 states/eV/f.u. As for the crystal system: tetragonal. The formation energy comes out at -646 kJ/mol of formula units. The calculation puts the volume at 16.19 Å³ per atom.

[3]
Below is crystalline NaCeP2S8 at its relaxed geometry, with properties calculated at the PBE level.

The space group is R-3 (No. 148, hexagonal axes) and the conventional cell measures 6.0986, 6.0986 and 27.4505 Å, with angles of 90.00, 90.00 and 120.00 degrees. The distinct sites, in fractional coordinates, are Na at (0.0000, 0.0000, 0.0000), Ce at (0.0000, 0.0000, 0.5000), P at (0.0000, 0.0000, 0.2507), S at (0.0000, 0.0000, 0.3242) and S at (0.0038, 0.3669, 0.5610).

The density of states at the Fermi level is 8.3 states/eV/f.u. As for the crystal system: trigonal. The formation energy without anion corrections is -0.58 eV/atom. The calculation puts the volume at 24.56 Å³ per atom.

[4]
Below is crystalline NaCeP2Se6 at its relaxed geometry, with properties calculated at the PBE level.

The space group is P2_1/c (No. 14) and the conventional cell measures 12.471, 7.800 and 11.803 Å, with angles of 90.00, 112.71 and 90.00 degrees. The distinct sites, in fractional coordinates, are Na at (0.147, 0.108, 0.365), Ce at (0.345, 0.606, 0.585), P at (0.198, 0.615, 0.242), P at (0.322, 0.096, 0.743), Se at (0.095, 0.506, 0.339), Se at (0.119, 0.706, 0.050), Se at (0.210, 0.210, 0.118), Se at (0.314, 0.680, 0.850), Se at (0.409, 0.192, 0.934) and Se at (0.451, 0.532, 0.182).

The density of states at the Fermi level is 8.4 states/eV/f.u. As for the crystal system: monoclinic. The formation energy without anion corrections is -0.74 eV/atom. The calculation puts the volume at 26.48 Å³ per atom.

[5]
Below is crystalline NaCe2Pa at its relaxed geometry, with properties calculated at the PBE level.

The space group is R-3m (No. 166, hexagonal axes) and the conventional cell measures 3.9148, 3.9148 and 31.0712 Å, with angles of 90.00, 90.00 and 120.00 degrees. The distinct sites, in fractional coordinates, are Na at (0.0000, 0.0000, 0.0000), Ce at (0.0000, 0.0000, 0.1168) and Pa at (0.0000, 0.0000, 0.5000).

The density of states at the Fermi level is 10.2 states/eV/f.u. As for the crystal system: trigonal. The formation energy comes out at 226 kJ/mol of formula units. The calculation puts the volume at 34.37 Å³ per atom.

[6]
Below is crystalline Na3Ce3PaS8 at its relaxed geometry, with properties calculated at the PBE level.

The space group is R-3m (No. 166, hexagonal axes) and the conventional cell measures 8.2539, 8.2539 and 20.0486 Å, with angles of 90.00, 90.00 and 120.00 degrees. The distinct sites, in fractional coordinates, are Na at (0.0000, 0.5000, 0.0000), Ce at (0.0000, 0.5000, 0.5000), Pa at (0.0000, 0.0000, 0.5000), S at (0.0000, 0.0000, 0.2442) and S at (0.0151, 0.5076, 0.2406).

The density of states at the Fermi level is 23.0 states/eV/f.u. As for the crystal system: trigonal. The formation energy without anion corrections is -1.71 eV/atom. The calculation puts the volume at 26.29 Å³ per atom.